CoAgAs3: relaxed, GGA-PBE.

```
CoAgAs3
1.0
-0.6285 0.3960 -4.5517
3.9546 -2.2538 -0.7421
-2.2881 -4.0041 -0.0324
Co As Ag
1 3 1
Direct
0.0000 0.0000 0.0000 Co
0.5000 0.0000 0.0000 As
0.0000 0.5000 0.0000 As
0.0000 0.0000 0.5000 As
0.5000 0.5000 0.5000 Ag
```

Results
space group: No. 221
ΔH_f (0 K): 2.2 eV per formula unit
V: 19.618 Å³ per atom
raw total energy: -4.342 eV/atom
relative energy among the computed polymorphs: 0 meV per atom


CoAg2As: relaxed, GGA-PBE.

```
CoAg2As
1.0
-1.5543 0.7873 -6.7292
-2.3005 -3.6359 -5.4594
-0.1037 2.4992 6.4854
Ag As Co
2 1 1
Direct
0.4325 0.4325 0.0000 Ag
0.0675 0.0675 0.0000 Ag
0.7500 0.2500 0.5000 As
0.2500 0.7500 0.5000 Co
```

Results
space group: No. 71
ΔH_f (0 K): 0.7 eV per formula unit
V: 17.215 Å³ per atom
raw total energy: -4.193 eV/atom


Co2AgAs2: relaxed, GGA-PBE.

```
Co2AgAs2
1.0
3.8625 0.0000 0.0000
0.0000 3.8625 0.0000
1.9313 1.9313 5.1908
Co As Ag
2 2 1
Direct
0.3810 0.3810 0.2381 Co
0.6190 0.6190 0.7619 Co
0.7500 0.2500 0.5000 As
0.2500 0.7500 0.5000 As
0.0000 0.0000 0.0000 Ag
```

Results
space group: No. 139
ΔH_f (0 K): 0.9 eV per formula unit
V: 15.488 Å³ per atom
raw total energy: -5.083 eV/atom
relative energy among the computed polymorphs: 212 meV per atom


CoAg2As: relaxed, GGA-PBE.

```
CoAg2As
1.0
-4.0156 0.1070 0.9598
-2.9990 -2.6696 0.9683
0.5049 0.2032 6.0362
Ag As Co
2 1 1
Direct
0.7480 0.7480 0.7314 Ag
0.9868 0.9868 0.0262 Ag
0.5209 0.5209 0.4205 As
0.2443 0.2443 0.3219 Co
```

Results
space group: No. 8
ΔH_f (0 K): 0.9 eV per formula unit
V: 17.049 Å³ per atom
raw total energy: -4.143 eV/atom


CoAg2As: relaxed, GGA-PBE.

```
CoAg2As
1.0
2.9156 0.0000 0.0000
0.0000 4.1289 0.0000
0.0000 0.0000 5.4574
Co As Ag
1 1 2
Direct
0.5000 0.5000 0.7500 Co
0.5000 0.5000 0.2500 As
0.0000 0.0000 0.5074 Ag
0.0000 0.0000 0.9926 Ag
```

Results
space group: No. 47
ΔH_f (0 K): 1.5 eV per formula unit
V: 16.424 Å³ per atom
raw total energy: -3.977 eV/atom


CoAg2As: relaxed, GGA-PBE.

```
CoAg2As
1.0
2.9695 0.0000 0.0000
0.0000 2.9695 0.0000
0.0000 0.0000 7.3197
As Co Ag
1 1 2
Direct
0.0000 0.0000 0.5596 As
0.5000 0.5000 0.7146 Co
0.5000 0.5000 0.2512 Ag
0.0000 0.0000 0.9746 Ag
```

Results
space group: No. 99
ΔH_f (0 K): 0.4 eV per formula unit
V: 16.136 Å³ per atom
raw total energy: -4.276 eV/atom


CoAg3As: relaxed, GGA-PBE.

```
CoAg3As
1.0
-2.4675 -4.2002 0.3907
4.2157 -2.4393 0.4009
-0.1496 0.5394 4.8548
Ag As Co
3 1 1
Direct
0.0000 0.5000 0.0000 Ag
0.0000 0.0000 0.5000 Ag
0.5000 0.0000 0.0000 Ag
0.0000 0.0000 0.0000 As
0.5000 0.5000 0.5000 Co
```

Results
space group: No. 221
ΔH_f (0 K): 4.5 eV per formula unit
V: 23.343 Å³ per atom
raw total energy: -3.154 eV/atom
relative energy among the computed polymorphs: 0 meV per atom


CoAg2As: relaxed, GGA-PBE.

```
CoAg2As
1.0
5.2976 0.0328 0.0364
2.3586 4.7438 -0.0364
-3.3608 -3.1373 2.6324
Ag As Co
2 1 1
Direct
0.0254 0.0254 0.0000 Ag
0.7377 0.2377 0.5000 Ag
0.4557 0.4557 0.0000 As
0.2812 0.7812 0.5000 Co
```

Results
space group: No. 44
ΔH_f (0 K): 1.0 eV per formula unit
V: 16.415 Å³ per atom
raw total energy: -4.120 eV/atom


CoAg2As: relaxed, GGA-PBE.

```
CoAg2As
1.0
-3.5552 -0.0634 2.0006
1.4722 -0.2434 2.6085
0.8700 5.1591 1.7097
Co As Ag
1 1 2
Direct
0.5000 0.5730 0.7278 Co
0.0000 0.6716 0.5327 As
0.0000 0.9465 0.9828 Ag
0.5000 0.3090 0.2567 Ag
```

Results
space group: No. 6
ΔH_f (0 K): 0.9 eV per formula unit
V: 16.240 Å³ per atom
raw total energy: -4.134 eV/atom


Co2AgAs2: relaxed, GGA-PBE.

```
Co2AgAs2
1.0
3.9795 0.0000 0.0000
0.0000 3.9795 0.0000
1.9898 1.9898 4.8744
Co As Ag
2 2 1
Direct
0.2500 0.7500 0.5000 Co
0.7500 0.2500 0.5000 Co
0.6281 0.6281 0.7438 As
0.3719 0.3719 0.2562 As
0.0000 0.0000 0.0000 Ag
```

Results
space group: No. 139
ΔH_f (0 K): -0.1 eV per formula unit
V: 15.439 Å³ per atom
raw total energy: -5.295 eV/atom
relative energy among the computed polymorphs: 0 meV per atom


Co2AgAs2: relaxed, GGA-PBE.

```
Co2AgAs2
1.0
6.9740 0.0000 0.0000
0.0000 6.9740 0.0000
0.0000 0.0000 2.9273
Ag Co As
2 4 4
Direct
0.0000 0.0000 0.0000 Ag
0.5000 0.5000 0.0000 Ag
0.8662 0.6338 0.0000 Co
0.1338 0.3662 0.0000 Co
0.6338 0.1338 0.0000 Co
0.3662 0.8662 0.0000 Co
0.6539 0.8461 0.5000 As
0.8461 0.3461 0.5000 As
0.1539 0.6539 0.5000 As
0.3461 0.1539 0.5000 As
```

Results
space group: No. 127
ΔH_f (0 K): 0.3 eV per formula unit
V: 14.237 Å³ per atom
raw total energy: -5.205 eV/atom
relative energy among the computed polymorphs: 89 meV per atom


CoAg4As: relaxed, GGA-PBE.

```
CoAg4As
1.0
0.0000 3.8305 3.8305
3.8305 0.0000 3.8305
3.8305 3.8305 0.0000
Co Ag As
1 4 1
Direct
0.0000 0.0000 0.0000 Co
0.8759 0.3747 0.3747 Ag
0.3747 0.8759 0.3747 Ag
0.3747 0.3747 0.3747 Ag
0.3747 0.3747 0.8759 Ag
0.7500 0.7500 0.7500 As
```

Results
space group: No. 216
ΔH_f (0 K): 3.4 eV per formula unit
V: 18.735 Å³ per atom
raw total energy: -3.288 eV/atom


CoAg3As: relaxed, GGA-PBE.

```
CoAg3As
1.0
-1.7205 4.4488 -0.0224
-2.5551 -0.9685 3.9097
3.6419 1.4222 2.7324
Ag Co As
3 1 1
Direct
0.0000 0.0000 0.5000 Ag
0.0000 0.5000 0.0000 Ag
0.5000 0.0000 0.0000 Ag
0.0000 0.0000 0.0000 Co
0.5000 0.5000 0.5000 As
```

Results
space group: No. 221
ΔH_f (0 K): 5.0 eV per formula unit
V: 21.705 Å³ per atom
raw total energy: -3.053 eV/atom
relative energy among the computed polymorphs: 102 meV per atom


CoAg2As: relaxed, GGA-PBE.

```
CoAg2As
1.0
4.3400 0.0000 0.0000
0.0000 3.8525 0.0000
0.0000 0.0000 3.8525
As Co Ag
1 1 2
Direct
0.5000 0.5000 0.0000 As
0.5000 0.0000 0.5000 Co
0.0000 0.0000 0.0000 Ag
0.0000 0.5000 0.5000 Ag
```

Results
space group: No. 123
ΔH_f (0 K): 1.3 eV per formula unit
V: 16.103 Å³ per atom
raw total energy: -4.038 eV/atom


CoAg2As: relaxed, GGA-PBE.

```
CoAg2As
1.0
-4.6630 0.0994 -1.1718
-0.4400 -2.8385 -3.8569
2.0679 -0.9080 4.2457
As Co Ag
1 1 2
Direct
0.5000 0.5000 0.0000 As
0.7500 0.2500 0.5000 Co
0.0000 0.0000 0.0000 Ag
0.2500 0.7500 0.5000 Ag
```

Results
space group: No. 119
ΔH_f (0 K): 1.4 eV per formula unit
V: 16.143 Å³ per atom
raw total energy: -4.015 eV/atom


CoAgAs: relaxed, GGA-PBE.

```
CoAgAs
1.0
5.4861 -0.0135 0.0150
4.6539 2.9042 -0.0197
0.8322 0.2705 2.9054
Ag Co As
1 1 1
Direct
0.0071 0.0071 0.9929 Ag
0.6950 0.6950 0.3050 Co
0.2980 0.2980 0.7020 As
```

Results
space group: No. 107
ΔH_f (0 K): 0.3 eV per formula unit
V: 15.495 Å³ per atom
raw total energy: -4.763 eV/atom
relative energy among the computed polymorphs: 142 meV per atom


CoAgAs: relaxed, GGA-PBE.

```
CoAgAs
1.0
4.1316 0.0000 0.0000
2.0658 3.5780 0.0000
2.0658 1.1927 3.3734
As Ag Co
1 1 1
Direct
0.5000 0.5000 0.5000 As
0.0000 0.0000 0.0000 Ag
0.7500 0.7500 0.7500 Co
```

Results
space group: No. 216
ΔH_f (0 K): 0.7 eV per formula unit
V: 16.623 Å³ per atom
raw total energy: -4.640 eV/atom
relative energy among the computed polymorphs: 265 meV per atom


CoAgAs: relaxed, GGA-PBE.

```
CoAgAs
1.0
-2.5650 0.9457 -1.1170
0.0283 -2.1751 1.9973
-0.4587 4.3194 4.7103
Co Ag As
1 1 1
Direct
0.3333 0.6667 0.6360 Co
0.0000 0.0000 0.9754 Ag
0.6667 0.3333 0.3885 As
```

Results
space group: No. 156
ΔH_f (0 K): 0.5 eV per formula unit
V: 16.131 Å³ per atom
raw total energy: -4.695 eV/atom
relative energy among the computed polymorphs: 209 meV per atom


CoAg2As: relaxed, GGA-PBE.

```
CoAg2As
1.0
4.5919 -0.0144 -0.0490
-2.2326 5.1605 0.0213
0.1266 0.8203 2.7864
As Ag Co
1 2 1
Direct
0.0000 0.5000 0.5000 As
0.0000 0.0000 0.0000 Ag
0.5000 0.0000 0.5000 Ag
0.5000 0.5000 0.0000 Co
```

Results
space group: No. 12
ΔH_f (0 K): 1.4 eV per formula unit
V: 16.495 Å³ per atom
raw total energy: -4.007 eV/atom


CoAg2As: relaxed, GGA-PBE.

```
CoAg2As
1.0
-2.2750 -4.1790 1.8070
5.0479 -0.2512 -0.6004
0.3624 0.9486 2.6502
As Co Ag
1 1 2
Direct
0.5000 0.0000 0.5000 As
0.0000 0.5000 0.5000 Co
0.5000 0.5000 0.0000 Ag
0.0000 0.0000 0.0000 Ag
```

Results
space group: No. 65
ΔH_f (0 K): 1.6 eV per formula unit
V: 16.463 Å³ per atom
raw total energy: -3.966 eV/atom


CoCuAg2As: relaxed, GGA-PBE.

```
CoCuAg2As
1.0
4.7220 0.0000 0.0000
0.0000 4.4248 0.0000
0.0000 0.0000 4.7220
Cu Ag Co As
1 2 1 1
Direct
0.0000 0.0000 0.0000 Cu
0.0000 0.0000 0.5000 Ag
0.5000 0.0000 0.0000 Ag
0.0000 0.5000 0.0000 Co
0.5000 0.5000 0.5000 As
```

Results
space group: No. 123
ΔH_f (0 K): 4.7 eV per formula unit
V: 19.732 Å³ per atom
raw total energy: -3.367 eV/atom


FeCoAgAs2: relaxed, GGA-PBE.

```
FeCoAgAs2
1.0
-4.8688 -0.1621 -0.1271
0.1570 -4.7142 -0.0019
-0.1270 -0.0062 4.8715
As Fe Ag Co
2 1 1 1
Direct
0.5000 0.0000 0.0000 As
0.0000 0.0000 0.5000 As
0.5000 0.5000 0.5000 Fe
0.0000 0.0000 0.0000 Ag
0.0000 0.5000 0.0000 Co
```

Results
space group: No. 123
ΔH_f (0 K): 7.4 eV per formula unit
V: 22.403 Å³ per atom
raw total energy: -4.069 eV/atom


GaCoAgAs2: relaxed, GGA-PBE.

```
GaCoAgAs2
1.0
-4.2129 1.2823 1.3625
-1.8485 -3.0281 -2.8655
0.0990 -3.1994 3.3171
Ga Ag Co As
1 1 1 2
Direct
0.0000 0.5000 0.0000 Ga
0.5000 0.5000 0.5000 Ag
0.0000 0.0000 0.0000 Co
0.5000 0.0000 0.0000 As
0.0000 0.0000 0.5000 As
```

Results
space group: No. 123
ΔH_f (0 K): 1.4 eV per formula unit
V: 19.381 Å³ per atom
raw total energy: -4.174 eV/atom


Co2AgGeAs: relaxed, GGA-PBE.

```
Co2AgGeAs
1.0
4.3691 0.0000 0.0000
0.0000 4.8872 0.0000
0.0000 0.0000 4.3691
Ge As Ag Co
1 1 1 2
Direct
0.5000 0.5000 0.5000 Ge
0.0000 0.0000 0.0000 As
0.0000 0.5000 0.0000 Ag
0.0000 0.0000 0.5000 Co
0.5000 0.0000 0.0000 Co
```

Results
space group: No. 123
ΔH_f (0 K): 3.4 eV per formula unit
V: 18.659 Å³ per atom
raw total energy: -4.593 eV/atom


CoAg2AsI: relaxed, GGA-PBE.

```
CoAg2AsI
1.0
-3.5958 -3.2658 -1.3004
2.5737 -3.5033 1.6815
-2.1556 0.5792 4.5060
As I Ag Co
1 1 2 1
Direct
0.5000 0.5000 0.5000 As
0.0000 0.5000 0.0000 I
0.0000 0.0000 0.5000 Ag
0.5000 0.0000 0.0000 Ag
0.0000 0.0000 0.0000 Co
```

Results
space group: No. 123
V: 23.572 Å³ per atom
formation energy (no corrections): 931 meV per atom
raw total energy: -2.870 eV/atom


KCoAgAs: relaxed, GGA-PBE.

```
KCoAgAs
1.0
3.8597 0.0000 0.0000
0.0000 3.8597 0.0000
0.0000 0.0000 12.4912
K As Co Ag
2 2 2 2
Direct
0.2500 0.2500 0.7399 K
0.7500 0.7500 0.2601 K
0.7500 0.7500 0.8966 As
0.2500 0.2500 0.1034 As
0.2500 0.7500 0.0000 Co
0.7500 0.2500 0.0000 Co
0.7500 0.2500 0.5000 Ag
0.2500 0.7500 0.5000 Ag
```

Results
space group: No. 129
ΔH_f (0 K): -0.9 eV per formula unit
V: 23.260 Å³ per atom
raw total energy: -4.151 eV/atom


Li2CoAgAs: relaxed, GGA-PBE.

```
Li2CoAgAs
1.0
4.4651 0.0000 0.0000
0.0000 4.8244 0.0000
0.0000 0.0000 4.4651
Co As Ag Li
1 1 1 2
Direct
0.0000 0.5000 0.0000 Co
0.5000 0.5000 0.5000 As
0.0000 0.0000 0.0000 Ag
0.0000 0.0000 0.5000 Li
0.5000 0.0000 0.0000 Li
```

Results
space group: No. 123
ΔH_f (0 K): 2.9 eV per formula unit
V: 19.237 Å³ per atom
raw total energy: -3.106 eV/atom


CoAgMoAs2: relaxed, GGA-PBE.

```
CoAgMoAs2
1.0
-3.6586 -3.0337 0.8146
0.5931 -1.8605 -4.2648
3.0814 -3.2235 1.8348
As Ag Co Mo
2 1 1 1
Direct
0.0000 0.0000 0.5000 As
0.5000 0.0000 0.0000 As
0.5000 0.5000 0.5000 Ag
0.0000 0.5000 0.0000 Co
0.0000 0.0000 0.0000 Mo
```

Results
space group: No. 123
ΔH_f (0 K): 4.1 eV per formula unit
V: 21.813 Å³ per atom
raw total energy: -5.192 eV/atom